PmCu3Sn3 after structural relaxation, computed with PBE.

Cell: 8.389 8.389 8.389 Å, 49.51 49.51 49.51°
Fractional positions:
Pm 0.162 0.162 0.162
Pm 0.838 0.838 0.838
Cu 0.022 0.275 0.837
Cu 0.163 0.978 0.725
Cu 0.275 0.837 0.022
Cu 0.725 0.163 0.978
Cu 0.837 0.022 0.275
Cu 0.978 0.725 0.163
Sn 0.114 0.626 0.479
Sn 0.374 0.521 0.886
Sn 0.479 0.114 0.626
Sn 0.521 0.886 0.374
Sn 0.626 0.479 0.114
Sn 0.886 0.374 0.521

Computed properties:
* formation enthalpy at 0 K: -88.0 meV/atom
* volume: 22.4 Å³/atom
* calculated total energy: -4.238 eV per atom
* energy relative to the lowest polymorph listed for this composition: 0 meV/atom



PmCu5Sn after structural relaxation, computed with PBE.

Cell: 8.330 5.067 10.633 Å, 90.00 90.00 90.00°
Fractional positions:
Pm 0.247 0.250 0.060
Pm 0.253 0.750 0.560
Pm 0.747 0.250 0.440
Pm 0.753 0.750 0.940
Cu 0.062 0.750 0.104
Cu 0.069 0.000 0.312
Cu 0.069 0.500 0.312
Cu 0.082 0.250 0.517
Cu 0.182 0.250 0.744
Cu 0.318 0.750 0.244
Cu 0.418 0.750 0.017
Cu 0.431 0.000 0.812
Cu 0.431 0.500 0.812
Cu 0.438 0.250 0.604
Cu 0.562 0.750 0.396
Cu 0.569 0.000 0.188
Cu 0.569 0.500 0.188
Cu 0.582 0.250 0.983
Cu 0.682 0.250 0.756
Cu 0.818 0.750 0.256
Cu 0.918 0.750 0.483
Cu 0.931 0.000 0.688
Cu 0.931 0.500 0.688
Cu 0.938 0.250 0.896
Sn 0.139 0.750 0.860
Sn 0.361 0.250 0.360
Sn 0.639 0.750 0.640
Sn 0.861 0.250 0.140

Computed properties:
* formation enthalpy at 0 K: -258.8 meV/atom
* volume: 16.0 Å³/atom
* calculated total energy: -4.435 eV per atom



Pm2CuSn3 after structural relaxation, computed with PBE.

Cell: 9.207 9.028 6.258 Å, 71.47 68.40 40.13°
Fractional positions:
Pm 0.239 0.761 0.761
Pm 0.250 0.250 0.250
Pm 0.750 0.750 0.750
Pm 0.761 0.239 0.239
Cu 0.330 0.330 0.670
Cu 0.670 0.670 0.330
Sn 0.173 0.173 0.827
Sn 0.182 0.642 0.358
Sn 0.358 0.818 0.182
Sn 0.642 0.182 0.818
Sn 0.818 0.358 0.642
Sn 0.827 0.827 0.173

Computed properties:
* formation enthalpy at 0 K: -531.4 meV/atom
* volume: 25.9 Å³/atom
* calculated total energy: -4.799 eV per atom
* energy relative to the lowest polymorph listed for this composition: 0 meV/atom



Pm5CuSn4 after structural relaxation, computed with PBE.

Cell: 7.678 7.678 7.678 Å, 99.77 99.77 131.34°
Fractional positions:
Pm 0.000 0.000 0.000
Pm 0.310 0.511 0.608
Pm 0.511 0.903 0.201
Pm 0.702 0.310 0.799
Pm 0.903 0.702 0.392
Cu 0.490 0.490 0.000
Sn 0.013 0.404 0.196
Sn 0.209 0.818 0.804
Sn 0.404 0.209 0.391
Sn 0.818 0.013 0.609

Computed properties:
* formation enthalpy at 0 K: -431.4 meV/atom
* volume: 31.0 Å³/atom
* calculated total energy: -4.817 eV per atom